The following is a PBEsol calculation of crystalline TlPb2Au at its relaxed geometry, from Alexandria.

a = 3.4608 Å, b = 3.4608 Å, c = 8.5604 Å
α = 90.00°, β = 90.00°, γ = 92.20°
Sites, in units of the cell vectors:
Pb (0.0000, 0.0000, 0.0394)
Pb (0.5000, 0.5000, 0.7469)
Tl (0.0000, 0.0000, 0.4627)
Au (0.5000, 0.5000, 0.2510)

Computed properties:
Formation energy (meV/atom): 14
Space group: Cmm2 (35)

***

The following is a PBEsol calculation of crystalline TlPb2Au at its relaxed geometry, from Alexandria.

a = 3.4957 Å, b = 3.4957 Å, c = 8.4425 Å
α = 90.00°, β = 90.00°, γ = 90.00°
Sites, in units of the cell vectors:
Pb (0.0000, 0.0000, 0.2902)
Pb (0.0000, 0.0000, 0.7098)
Au (0.5000, 0.5000, 0.5000)
Tl (0.5000, 0.5000, 0.0000)

Computed properties:
Formation energy (meV/atom): -21
Space group: P4/mmm (123)

***

The following is a PBEsol calculation of crystalline TlPbAu2 at its relaxed geometry, from Alexandria.

a = 3.5585 Å, b = 5.0204 Å, c = 5.0097 Å
α = 90.00°, β = 90.00°, γ = 90.00°
Sites, in units of the cell vectors:
Tl (0.5000, 0.0000, 0.5000)
Pb (0.5000, 0.5000, 0.0000)
Au (0.0000, 0.5000, 0.5000)
Au (0.0000, 0.0000, 0.0000)

Computed properties:
Formation energy (meV/atom): 56
Space group: Pmmm (47)

***

The following is a PBEsol calculation of crystalline TlPb2Au at its relaxed geometry, from Alexandria.

a = 5.2366 Å, b = 5.2366 Å, c = 5.2366 Å
α = 60.00°, β = 60.00°, γ = 60.00°
Sites, in units of the cell vectors:
Tl (0.5000, 0.5000, 0.5000)
Pb (0.2500, 0.2500, 0.2500)
Pb (0.7500, 0.7500, 0.7500)
Au (0.0000, 0.0000, 0.0000)

Computed properties:
Formation energy (meV/atom): 72
Space group: Fm-3m (225)

***

The following is a PBEsol calculation of crystalline TlPbAu2 at its relaxed geometry, from Alexandria.

a = 3.7652 Å, b = 4.4726 Å, c = 5.7075 Å
α = 90.00°, β = 109.26°, γ = 90.00°
Sites, in units of the cell vectors:
Au (0.2064, 0.0000, 0.4127)
Au (0.0419, 0.5000, 0.0838)
Tl (0.7705, 0.5000, 0.5409)
Pb (0.4778, 0.0000, 0.9555)

Computed properties:
Formation energy (meV/atom): -40
Space group: Amm2 (38)

***

The following is a PBEsol calculation of crystalline TlPb2Au at its relaxed geometry, from Alexandria.

a = 3.5540 Å, b = 5.2758 Å, c = 6.4557 Å
α = 113.98°, β = 105.98°, γ = 90.00°
Sites, in units of the cell vectors:
Pb (0.7916, 0.7914, 0.5831)
Pb (0.2084, 0.2086, 0.4169)
Au (0.5000, 0.0000, 0.0000)
Tl (0.0000, 0.5000, 0.0000)

Computed properties:
Formation energy (meV/atom): 21
Space group: C2/m (12)

***

The following is a PBEsol calculation of crystalline TlPbAu2 at its relaxed geometry, from Alexandria.

a = 3.3109 Å, b = 3.4234 Å, c = 8.0516 Å
α = 90.00°, β = 90.00°, γ = 90.00°
Sites, in units of the cell vectors:
Au (0.5000, 0.5000, 0.2225)
Au (0.0000, 0.0000, 0.0307)
Tl (0.5000, 0.5000, 0.7969)
Pb (0.0000, 0.0000, 0.4498)

Computed properties:
Formation energy (meV/atom): 13
Space group: Pmm2 (25)

***

The following is a PBEsol calculation of crystalline TlPb2Au at its relaxed geometry, from Alexandria.

a = 3.6321 Å, b = 3.6321 Å, c = 9.5789 Å
α = 79.07°, β = 79.07°, γ = 60.00°
Sites, in units of the cell vectors:
Pb (0.7389, 0.7389, 0.7833)
Pb (0.2611, 0.2611, 0.2167)
Tl (0.5000, 0.5000, 0.5000)
Au (0.0000, 0.0000, 0.0000)

Computed properties:
Formation energy (meV/atom): 17
Space group: R-3m (166)

***

The following is a PBEsol calculation of crystalline TlPbAu2 at its relaxed geometry, from Alexandria.

a = 3.3114 Å, b = 5.5482 Å, c = 5.3580 Å
α = 107.49°, β = 90.00°, γ = 107.36°
Sites, in units of the cell vectors:
Tl (0.2694, 0.5387, 0.8014)
Au (0.0224, 0.0448, 0.9785)
Au (0.7308, 0.4616, 0.2728)
Pb (0.4774, 0.9548, 0.4473)

Computed properties:
Formation energy (meV/atom): 30
Space group: Cm (8)

***

The following is a PBEsol calculation of crystalline TlPbAu4 at its relaxed geometry, from Alexandria.

a = 5.5850 Å, b = 5.5850 Å, c = 5.5850 Å
α = 60.00°, β = 60.00°, γ = 60.00°
Sites, in units of the cell vectors:
Au (0.8752, 0.3749, 0.3749)
Au (0.3749, 0.3749, 0.3749)
Au (0.3749, 0.3749, 0.8752)
Au (0.3749, 0.8752, 0.3749)
Tl (0.0000, 0.0000, 0.0000)
Pb (0.7500, 0.7500, 0.7500)

Computed properties:
Formation energy (meV/atom): 1
Space group: F-43m (216)

***

The following is a PBEsol calculation of crystalline TlPb2Au at its relaxed geometry, from Alexandria.

a = 6.1185 Å, b = 6.7387 Å, c = 6.7387 Å
α = 78.11°, β = 63.00°, γ = 63.00°
Sites, in units of the cell vectors:
Au (0.2500, 0.5000, 0.5000)
Au (0.5000, 0.0000, 0.0000)
Pb (0.1723, 0.9527, 0.4527)
Pb (0.5777, 0.0473, 0.5473)
Pb (0.3750, 0.4527, 0.0473)
Pb (0.8750, 0.5473, 0.9527)
Tl (0.7500, 0.5000, 0.5000)
Tl (0.0000, 0.0000, 0.0000)

Computed properties:
Formation energy (meV/atom): 58
Space group: I-42d (122)

***

The following is a PBEsol calculation of crystalline TlPbAu2 at its relaxed geometry, from Alexandria.

a = 4.9094 Å, b = 5.0790 Å, c = 4.9094 Å
α = 118.90°, β = 90.00°, γ = 118.90°
Sites, in units of the cell vectors:
Pb (0.0000, 0.0000, 0.0000)
Tl (0.5000, 0.0000, 0.5000)
Au (0.2500, 0.5000, 0.7500)
Au (0.7500, 0.5000, 0.2500)

Computed properties:
Formation energy (meV/atom): 57
Space group: I4/mmm (139)

***

Record order is preserved below.
Raw total energy: -3.6237 -3.6593 -3.5635 -3.5662 -3.6592 -3.6166 -3.6063 -3.6206 -3.5894 -3.7198 -3.5798 -3.5619 eV per atom